Below is a relaxed TaTi9Sn2 crystal, with properties calculated at the GGA-PBE level.

Cell lengths 5.6015, 5.6015, 24.0582 Å; angles 90.00, 90.00, 120.00 degrees
Closest atoms and distances in Å follow each position.
Space group R-3m (No. 166, hexagonal axes)
One atom of each set of equivalent atoms:
Ta1 0.0000 0.0000 0.0000  18 Ti 3.23-3.43, 2 Sn 3.26
Ti1 0.0000 0.0000 0.3328  6 Ti 2.53-2.58
Ti2 0.0000 0.0000 0.5000  6 Ti 2.61
Ti3 0.0047 0.5024 0.9177  5 Ti 2.53-2.76
Sn1 0.0000 0.0000 0.1356  12 Ti 3.08-3.32, 1 Ta 3.26

Results
Energy relative to the elements, eV/atom: 0.144
DOS at the Fermi energy, states/eV/cell: 31.6

=====

Below is a relaxed Pb2WSe crystal, with properties calculated at the GGA-PBE level.

Cell lengths 3.0930, 3.0930, 35.9734 Å; angles 90.00, 90.00, 120.00 degrees
Closest atoms and distances in Å follow each position.
Space group R-3m (No. 166, hexagonal axes)
One atom of each set of equivalent atoms:
Pb1 0.0000 0.0000 0.2381  6 Pb 3.09, 3 W 3.13
W1 0.0000 0.0000 0.5000  6 W 3.09, 6 Pb 3.13
Se1 0.0000 0.0000 0.0000  6 Se 3.09

Results
DOS at the Fermi energy, states/eV/cell: 10.3
Electronic total energy, Ry per atom: -0.3827

=====

Below is a relaxed Hf2TcAg crystal, with properties calculated at the GGA-PBE level.

Cell lengths 4.1903, 4.1903, 18.6150 Å; angles 90.00, 90.00, 90.00 degrees
Closest atoms and distances in Å follow each position.
Space group I-42d (No. 122)
One atom of each set of equivalent atoms:
Hf1 0.2380 0.2500 0.1250  2 Tc 2.74, 2 Ag 2.78, 4 Hf 2.89-3.03
Tc1 0.0000 0.0000 0.0000  4 Hf 2.74, 4 Ag 2.96
Ag1 0.0000 0.0000 0.5000  4 Hf 2.78, 4 Tc 2.96

Results
Energy relative to the elements, eV/atom: 0.623
DOS at the Fermi energy, states/eV/cell: 12.9

=====

Below is a relaxed Tl2In8Hg3 crystal, with properties calculated at the GGA-PBE level.

Cell lengths 15.1749, 7.6287, 7.0735 Å; angles 90.00, 108.77, 90.00 degrees
Closest atoms and distances in Å follow each position.
Space group C2/m (No. 12)
One atom of each set of equivalent atoms:
Tl1 0.1273 0.0000 0.1942  3 In 3.22-3.24
In1 0.1183 0.5000 0.4610  3 In 3.02-3.30, 3 Hg 3.04-3.18
In2 0.1478 0.3001 0.8907  2 Hg 3.01-3.07, 4 In 3.05-3.30, 1 Tl 3.22
In3 0.2133 0.0000 0.6777  3 In 3.02-3.08, 1 Tl 3.24
Hg1 0.0000 0.1891 0.5000  1 Hg 2.88, 4 In 3.04-3.07
Hg2 0.0000 0.5000 0.0000  6 In 3.01-3.18

Results
Energy relative to the elements, eV/atom: 0.075
DOS at the Fermi energy, states/eV/cell: 10.1
ΔE to the lowest computed polymorph, meV per atom: 52.6

=====

Below is a relaxed Sr2ZnSb crystal, with properties calculated at the GGA-PBE level.

Cell lengths 5.3924, 5.3924, 4.3689 Å; angles 90.00, 90.00, 90.00 degrees
Closest atoms and distances in Å follow each position.
Space group P4/mmm (No. 123)
One atom of each set of equivalent atoms:
Sr1 0.0000 0.5000 0.0000  4 Sb 3.47, 4 Zn 3.47, 4 Sr 3.81
Zn1 0.0000 0.0000 0.5000  8 Sr 3.47, 4 Sb 3.81
Sb1 0.5000 0.5000 0.5000  8 Sr 3.47, 4 Zn 3.81

Results
DOS at the Fermi energy, states/eV/cell: 1.1
ΔE to the lowest computed polymorph, meV per atom: 45.2

=====

Below is a relaxed CoReW2 crystal, with properties calculated at the GGA-PBE level.

Cell lengths 6.1863, 6.1863, 6.1863 Å; angles 90.00, 90.00, 90.00 degrees
Closest atoms and distances in Å follow each position.
Space group F-43m (No. 216)
One atom of each set of equivalent atoms:
Co1 0.0000 0.0000 0.0000  4 W 2.68, 4 Re 2.68
Re1 0.2500 0.2500 0.7500  4 Co 2.68, 4 W 2.68
W1 0.0000 0.0000 0.5000  4 Re 2.68, 4 W 2.68
W2 0.2500 0.2500 0.2500  4 W 2.68, 4 Co 2.68

Results
Energy relative to the elements, eV/atom: 0.244
DOS at the Fermi energy, states/eV/cell: 20.6
ΔE to the lowest computed polymorph, meV per atom: 120.4

=====

Below is a relaxed LiHo3Cd2 crystal, with properties calculated at the GGA-PBE level.

Cell lengths 5.2045, 15.6030, 3.7860 Å; angles 90.00, 90.00, 90.00 degrees
Closest atoms and distances in Å follow each position.
Space group Cmmm (No. 65)
One atom of each set of equivalent atoms:
Li1 0.0000 0.0000 0.0000  8 Ho 3.22
Ho1 0.0000 0.1666 0.5000  2 Li 3.22, 6 Cd 3.22-3.26
Ho2 0.0000 0.5000 0.5000  4 Cd 3.17, 4 Li 3.22
Cd1 0.0000 0.3370 0.0000  8 Ho 3.17-3.26

Results
Energy relative to the elements, eV/atom: -0.179
DOS at the Fermi energy, states/eV/cell: 15.4
ΔE to the lowest computed polymorph, meV per atom: 0.0

=====

Below is a relaxed YSb2S4 crystal, with properties calculated at the GGA-PBE level.

Cell lengths 4.1226, 12.7551, 12.8592 Å; angles 90.00, 90.00, 90.00 degrees
Closest atoms and distances in Å follow each position.
Space group Cmcm (No. 63)
One atom of each set of equivalent atoms:
Y1 0.0000 0.1236 0.2500  6 S 2.74-2.92
Sb1 0.0000 0.3764 0.0606  6 S 2.67-2.95
S1 0.0000 0.0000 0.0000  4 Sb 2.71
S2 0.0000 0.2774 0.6221  3 Sb 2.67-2.95, 2 Y 2.92
S3 0.0000 0.4824 0.2500  2 Y 2.74, 2 Sb 2.78

Results
DOS at the Fermi energy, states/eV/cell: 5.3
Electronic total energy, Ry per atom: -0.3804

=====

Below is a relaxed Ca3Nd2Au2 crystal, with properties calculated at the GGA-PBE level.

Cell lengths 13.1633, 3.8595, 9.6872 Å; angles 90.00, 117.19, 90.00 degrees
Closest atoms and distances in Å follow each position.
Space group C2/m (No. 12)
One atom of each set of equivalent atoms:
Ca1 0.0000 0.0000 0.0000  4 Au 3.06
Ca2 0.1149 0.0000 0.4363  3 Au 3.09-3.13
Nd1 0.1712 0.5000 0.8244  2 Au 3.04
Au1 0.1742 0.5000 0.2341  2 Nd 3.04, 5 Ca 3.06-3.13

Results
Energy relative to the elements, eV/atom: -0.463
DOS at the Fermi energy, states/eV/cell: 15.3

=====

Below is a relaxed Tb6Tc2Pd crystal, with properties calculated at the GGA-PBE level.

Cell lengths 9.4566, 9.6428, 10.0430 Å; angles 90.00, 90.00, 90.00 degrees
Closest atoms and distances in Å follow each position.
Space group Immm (No. 71)
One atom of each set of equivalent atoms:
Tb1 0.0000 0.2072 0.1816  3 Tc 2.83-2.98
Tb2 0.1857 0.2214 0.5000  3 Tc 3.01-3.19, 1 Pd 3.21
Tb3 0.1985 0.5000 0.2675  1 Tc 2.83, 1 Pd 3.00
Tc1 0.0000 0.0000 0.3817  1 Tc 2.38
Tc2 0.1318 0.0000 0.0000  1 Tc 2.49
Pd1 0.0000 0.5000 0.0000  12 Tb 3.28-3.66
Pd2 0.0000 0.5000 0.5000  8 Tb 3.00-3.21

Results
Energy relative to the elements, eV/atom: -0.202
DOS at the Fermi energy, states/eV/cell: 37.6

=====

Below is a relaxed BaCrSi crystal, with properties calculated at the GGA-PBE level.

Cell lengths 7.3988, 7.3988, 7.3988 Å; angles 90.00, 90.00, 90.00 degrees
Closest atoms and distances in Å follow each position.
Space group F-43m (No. 216)
One atom of each set of equivalent atoms:
Ba1 0.0000 0.0000 0.0000  4 Si 3.20, 4 Cr 3.20
Cr1 0.2500 0.2500 0.2500  4 Ba 3.20
Si1 0.2500 0.2500 0.7500  4 Ba 3.20

Results
DOS at the Fermi energy, states/eV/cell: 7.9
Electronic total energy, Ry per atom: -0.3339

=====

Below is a relaxed K3HoTh3Te8 crystal, with properties calculated at the GGA-PBE level.

Cell lengths 8.9066, 8.9066, 25.6613 Å; angles 90.00, 90.00, 120.00 degrees
Closest atoms and distances in Å follow each position.
Space group R-3m (No. 166, hexagonal axes)
One atom of each set of equivalent atoms:
K1 0.0000 0.5000 0.0000  6 Te 3.51-3.55
Ho1 0.0000 0.0000 0.5000  6 Te 3.12
Th1 0.0000 0.5000 0.5000  6 Te 3.16-3.19
Te1 0.0000 0.0000 0.2402  3 Th 3.19, 3 K 3.51
Te2 0.0044 0.5022 0.2372  1 Ho 3.12, 2 Th 3.16

Results
DOS at the Fermi energy, states/eV/cell: 26.9
Electronic total energy, Ry per atom: -0.3617

=====

Below is a relaxed LiScGaPb crystal, with properties calculated at the GGA-PBE level.

Cell lengths 6.9515, 6.9515, 6.9515 Å; angles 90.00, 90.00, 90.00 degrees
Closest atoms and distances in Å follow each position.
Space group F-43m (No. 216)
One atom of each set of equivalent atoms:
Li1 0.0000 0.0000 0.0000  4 Ga 3.01, 4 Pb 3.01
Sc1 0.0000 0.0000 0.5000  4 Pb 3.01, 4 Ga 3.01
Ga1 0.2500 0.2500 0.2500  4 Li 3.01, 4 Sc 3.01
Pb1 0.2500 0.2500 0.7500  4 Li 3.01, 4 Sc 3.01

Results
Energy relative to the elements, eV/atom: -0.293
DOS at the Fermi energy, states/eV/cell: 9.8

=====

Below is a relaxed Na2GaSbTe4 crystal, with properties calculated at the GGA-PBE level.

Cell lengths 10.4066, 8.5941, 6.7761 Å; angles 90.00, 90.00, 90.00 degrees
Closest atoms and distances in Å follow each position.
Space group Pmn2_1 (No. 31)
One atom of each set of equivalent atoms:
Na1 0.2448 0.1693 0.0000  4 Te 3.09-3.24
Ga1 0.0000 0.3509 0.5543  4 Te 2.64-2.69
Sb1 0.0000 0.6970 0.0358  4 Te 2.79-3.13
Te1 0.0000 0.3791 0.9491  1 Ga 2.69, 1 Sb 2.79
Te2 0.0000 0.6517 0.4523  1 Ga 2.68, 1 Sb 2.85
Te3 0.2147 0.1986 0.4752  1 Ga 2.64

Results
Electronic total energy, Ry per atom: -0.2385

=====

Below is a relaxed KCu crystal, with properties calculated at the GGA-PBE level.

Cell lengths 7.4662, 7.4662, 7.4662 Å; angles 90.00, 90.00, 90.00 degrees
Closest atoms and distances in Å follow each position.
Space group F-43m (No. 216)
One atom of each set of equivalent atoms:
K1 0.0000 0.0000 0.0000  4 Cu 3.23
Cu1 0.2500 0.2500 0.7500  4 K 3.23

Results
Energy relative to the elements, eV/atom: 0.657
DOS at the Fermi energy, states/eV/cell: 0.0
ΔE to the lowest computed polymorph, meV per atom: 414.2

=====

Below is a relaxed MgIn2IrPb crystal, with properties calculated at the GGA-PBE level.

Cell lengths 5.1721, 5.1721, 5.0451 Å; angles 90.00, 90.00, 90.00 degrees
Closest atoms and distances in Å follow each position.
Space group P4/mmm (No. 123)
One atom of each set of equivalent atoms:
Mg1 0.0000 0.0000 0.0000  2 Ir 2.52
In1 0.0000 0.5000 0.5000  2 Ir 2.59
Ir1 0.0000 0.0000 0.5000  2 Mg 2.52, 4 In 2.59
Pb1 0.5000 0.5000 0.0000  8 In 3.61, 4 Mg 3.66

Results
Energy relative to the elements, eV/atom: -0.001
DOS at the Fermi energy, states/eV/cell: 2.2

=====

Below is a relaxed MnRuRh crystal, with properties calculated at the GGA-PBE level.

Cell lengths 5.6744, 5.6744, 5.6744 Å; angles 90.00, 90.00, 90.00 degrees
Closest atoms and distances in Å follow each position.
Space group F-43m (No. 216)
One atom of each set of equivalent atoms:
Mn1 0.0000 0.0000 0.0000  4 Ru 2.46, 4 Rh 2.46
Ru1 0.2500 0.2500 0.7500  4 Mn 2.46
Rh1 0.2500 0.2500 0.2500  4 Mn 2.46

Results
Energy relative to the elements, eV/atom: 0.416
DOS at the Fermi energy, states/eV/cell: 22.3
ΔE to the lowest computed polymorph, meV per atom: 467.2

=====

Below is a relaxed Pr2Zn3CuPt4 crystal, with properties calculated at the GGA-PBE level.

Cell lengths 4.1630, 4.1630, 11.0274 Å; angles 90.00, 90.00, 90.00 degrees
Closest atoms and distances in Å follow each position.
Space group P-4m2 (No. 115)
One atom of each set of equivalent atoms:
Pr1 0.0000 0.5000 0.2472  8 Pt 3.19-3.43, 6 Zn 3.20-3.48, 2 Cu 3.48
Zn1 0.0000 0.5000 0.8672  5 Pt 2.50-2.55
Zn2 0.5000 0.5000 0.5000  4 Pt 2.59
Cu1 0.0000 0.0000 0.5000  4 Pt 2.59
Pt1 0.0000 0.0000 0.0000  4 Zn 2.55
Pt2 0.0000 0.5000 0.6404  3 Zn 2.50-2.59, 2 Cu 2.59
Pt3 0.5000 0.5000 0.0000  4 Zn 2.55

Results
Energy relative to the elements, eV/atom: -0.723
DOS at the Fermi energy, states/eV/cell: 3.2

=====

Below is a relaxed Tb3Sb3Te crystal, with properties calculated at the GGA-PBE level.

Cell lengths 9.3827, 9.3827, 7.9681 Å; angles 90.00, 90.00, 120.00 degrees
Closest atoms and distances in Å follow each position.
Space group R3m (No. 160, hexagonal axes)
One atom of each set of equivalent atoms:
Tb1 0.1824 0.3648 0.0000  2 Te 3.04-3.08, 5 Sb 3.17-3.30
Sb1 0.0997 0.5499 0.2828  5 Tb 3.17-3.30, 2 Sb 3.29
Te1 0.0000 0.0000 0.1071  6 Tb 3.04-3.09

Results
DOS at the Fermi energy, states/eV/cell: 16.5
Electronic total energy, Ry per atom: -0.3716

=====

Below is a relaxed TbHo12Tm7 crystal, with properties calculated at the GGA-PBE level.

Cell lengths 18.3980, 18.3980, 6.5930 Å; angles 90.00, 90.00, 120.00 degrees
Closest atoms and distances in Å follow each position.
Space group R-3 (No. 148, hexagonal axes)
One atom of each set of equivalent atoms:
Tb1 0.0000 0.0000 0.0000  8 Tm 3.30-3.38
Ho1 0.0006 0.7889 0.7877  4 Ho 3.18-3.42, 3 Tm 3.36-3.48
Ho2 0.0072 0.4718 0.2389  2 Tm 3.15-3.26, 5 Ho 3.18-3.42
Tm1 0.0000 0.0000 0.5000  6 Tm 3.13, 2 Tb 3.30
Tm2 0.0100 0.8528 0.2874  1 Tm 3.13, 5 Ho 3.15-3.48, 1 Tb 3.38

Results
Energy relative to the elements, eV/atom: 0.338
DOS at the Fermi energy, states/eV/cell: 79.1
ΔE to the lowest computed polymorph, meV per atom: 27.6

=====

Below is a relaxed NiSb2P crystal, with properties calculated at the GGA-PBE level.

Cell lengths 3.8768, 3.8768, 10.7259 Å; angles 90.00, 90.00, 90.00 degrees
Closest atoms and distances in Å follow each position.
Space group I-4m2 (No. 119)
One atom of each set of equivalent atoms:
Ni1 0.0000 0.0000 0.0000  4 Sb 2.74
Sb1 0.0000 0.0000 0.5000  4 Ni 2.74
Sb2 0.0000 0.5000 0.2500  4 P 2.74
P1 0.0000 0.5000 0.7500  4 Sb 2.74

Results
DOS at the Fermi energy, states/eV/cell: 5.8
Electronic total energy, Ry per atom: -0.3225

=====

Below is a relaxed AlAs2Ru crystal, with properties calculated at the GGA-PBE level.

Cell lengths 6.3621, 6.3621, 6.3621 Å; angles 90.00, 90.00, 90.00 degrees
Closest atoms and distances in Å follow each position.
Space group F-43m (No. 216)
One atom of each set of equivalent atoms:
Al1 0.0000 0.0000 0.0000  4 Ru 2.75, 4 As 2.75
As1 0.0000 0.0000 0.5000  4 As 2.75, 4 Ru 2.75
As2 0.2500 0.2500 0.7500  4 Al 2.75, 4 As 2.75
Ru1 0.2500 0.2500 0.2500  4 As 2.75, 4 Al 2.75

Results
Energy relative to the elements, eV/atom: 0.239
DOS at the Fermi energy, states/eV/cell: 9.7

=====

Below is a relaxed KUGe2O8 crystal, with properties calculated at the GGA-PBE level.

Cell lengths 7.3021, 7.3021, 6.4094 Å; angles 90.00, 90.00, 90.00 degrees
Closest atoms and distances in Å follow each position.
Space group I-4m2 (No. 119)
One atom of each set of equivalent atoms:
K1 0.0000 0.0000 0.0000  8 O 2.44-2.69
U1 0.0000 0.5000 0.7500  8 O 2.23-2.29
Ge1 0.0000 0.0000 0.5000  4 O 1.80
Ge2 0.0000 0.5000 0.2500  4 O 1.77
O1 0.0000 0.2069 0.6532  1 Ge 1.80
O2 0.0000 0.3317 0.0517  1 Ge 1.77

Results
DOS at the Fermi energy, states/eV/cell: 20.2
Electronic total energy, Ry per atom: -0.5068

=====

Below is a relaxed Pa2AlCr crystal, with properties calculated at the GGA-PBE level.

Cell lengths 4.2828, 4.2828, 4.3906 Å; angles 90.00, 90.00, 90.00 degrees
Closest atoms and distances in Å follow each position.
Space group P4/mmm (No. 123)
One atom of each set of equivalent atoms:
Pa1 0.0000 0.5000 0.0000  4 Pa 3.03, 4 Cr 3.07, 4 Al 3.07
Al1 0.0000 0.0000 0.5000  4 Cr 3.03, 8 Pa 3.07
Cr1 0.5000 0.5000 0.5000  4 Al 3.03, 8 Pa 3.07

Results
Energy relative to the elements, eV/atom: 0.031
DOS at the Fermi energy, states/eV/cell: 5.1
ΔE to the lowest computed polymorph, meV per atom: 0.0

=====

| no. | total moment (μB/cell) |
| --- | --- |
| 1 | 3.2 |
| 2 | 0.0 |
| 3 | 0.9 |
| 4 | 0.0 |
| 5 | 0.0 |
| 6 | 9.3 |
| 7 | 0.0 |
| 8 | 0.0 |
| 9 | 0.0 |
| 10 | 0.0 |
| 11 | 16.0 |
| 12 | 0.0 |
| 13 | 0.0 |
| 14 | 0.0 |
| 15 | 0.8 |
| 16 | 0.0 |
| 17 | 6.6 |
| 18 | 0.0 |
| 19 | 0.0 |
| 20 | 0.0 |
| 21 | 0.0 |
| 22 | 0.0 |
| 23 | 2.2 |
| 24 | 1.8 |